1.
This record from Alexandria via LeMat-Bulk describes a relaxed structure of Ba2TaHRu. The functional is PBE.

Lattice parameters (Å, degrees): 6.0621 6.0621 3.4257 90.00 90.00 90.00
Last column: magnetic moment on the atom in μB.
Atoms (fractional coordinates):
H 0.0000 0.0000 0.5000  0.00
Ba 0.5000 0.0000 0.0000  0.00
Ba 0.0000 0.5000 0.0000  0.00
Ta 0.5000 0.5000 0.5000  0.28
Ru 0.0000 0.0000 0.0000  0.02

Summary:
Electronic total energy in eV per atom: -4.558

***

2.
This record from Alexandria via LeMat-Bulk describes a relaxed structure of Ba2Tl2H4Ru. The functional is PBE.

Lattice parameters (Å, degrees): 6.2406 6.2406 6.2406 100.21 114.29 114.29
Atoms (fractional coordinates):
H 0.6341 0.8171 0.8171
Ba 0.5000 0.7500 0.2500
Ba 0.5000 0.2500 0.7500
H 0.3659 0.1829 0.1829
Tl 0.0000 0.3290 0.3290
Tl 0.0000 0.6710 0.6710
H 0.0000 0.1829 0.8171
Ru 0.0000 0.0000 0.0000
H 0.0000 0.8171 0.1829

Summary:
Electronic total energy in eV per atom: -3.594

***

3.
This record from Alexandria via LeMat-Bulk describes a relaxed structure of Ba2TlH6Ru. The functional is PBE.

Lattice parameters (Å, degrees): 7.2788 5.3852 5.3852 120.00 90.00 90.00
Atoms (fractional coordinates):
H 0.1338 0.8464 0.1536
Ba 0.8188 0.6667 0.3333
Ba 0.1812 0.3333 0.6667
H 0.1338 0.8464 0.6929
H 0.8662 0.1536 0.8464
H 0.1338 0.3071 0.1536
Tl 0.5000 0.0000 0.0000
H 0.8662 0.6929 0.8464
H 0.8662 0.1536 0.3071
Ru 0.0000 0.0000 0.0000

Summary:
Electronic total energy in eV per atom: -3.904

***

4.
This record from Alexandria via LeMat-Bulk describes a relaxed structure of Ba2VHRu. The functional is PBE.

Lattice parameters (Å, degrees): 6.2399 4.3113 6.2399 90.00 90.00 90.00
Last column: magnetic moment on the atom in μB.
Atoms (fractional coordinates):
V 0.0000 0.0000 0.0000  1.22
H 0.5000 0.5000 0.5000  0.01
Ru 0.0000 0.5000 0.0000  -0.15
Ba 0.5000 0.0000 0.0000  0.07
Ba 0.0000 0.0000 0.5000  0.09

Summary:
Electronic total energy in eV per atom: -4.375